Version A
Compound: AsWS3
Source: the Alexandria database
Functional: PBE
Structure: optimized geometry

a = 4.692 Å, b = 4.692 Å, c = 4.692 Å
α = 90.00°, β = 90.00°, γ = 90.00°
Space group Pm-3m (No. 221)
Asymmetric unit:
As 0.000 0.000 0.000 [1 per cell]
W 0.500 0.500 0.500 [1 per cell]
S 0.000 0.500 0.500 [3 per cell]


Version B
Compound: AsWS3
Source: the Alexandria database
Functional: PBE
Structure: optimized geometry

a = 4.639 Å, b = 4.639 Å, c = 4.639 Å
α = 90.00°, β = 90.00°, γ = 90.00°
Space group Pm-3m (No. 221)
Asymmetric unit:
As 0.000 0.000 0.000 [1 per cell]
W 0.500 0.500 0.500 [1 per cell]
S 0.000 0.000 0.500 [3 per cell]


Relative energy of each structure, in eV/atom: version A 0.000; version B 0.861.